1.
AcNiO3 at its PBEsol-relaxed geometry. Source: Alexandria via LeMat-Bulk, functional SCAN.

a = 3.850 Å, b = 3.850 Å, c = 3.850 Å
α = 90.00°, β = 90.00°, γ = 90.00°
Positions (direct):
Ac  0.000  0.000  0.000
Ni  0.500  0.500  0.500
O  0.000  0.500  0.500
O  0.500  0.000  0.500
O  0.500  0.500  0.000

Properties
D(E_F) = 0.33 states/eV per cell
formation energy without anion corrections = -2.57 eV per atom

---

2.
AgGeI2N at its PBEsol-relaxed geometry. Source: Alexandria via LeMat-Bulk, functional SCAN.

a = 5.687 Å, b = 5.687 Å, c = 3.936 Å
α = 90.00°, β = 90.00°, γ = 90.00°
Positions (direct):
Ag  0.000  0.000  0.000
Ge  0.500  0.500  0.500
I  0.000  0.500  0.000
I  0.500  0.000  0.000
N  0.000  0.000  0.500

Properties
D(E_F) = 2.26 states/eV per cell
formation energy without anion corrections = 0.97 eV per atom

---

3.
AsPt5 at its PBEsol-relaxed geometry. Source: Alexandria via LeMat-Bulk, functional SCAN.

a = 5.162 Å, b = 5.162 Å, c = 4.477 Å
α = 90.00°, β = 90.00°, γ = 120.00°
Positions (direct):
As  0.000  0.000  0.000
Pt  0.000  0.500  0.500
Pt  0.333  0.667  0.000
Pt  0.500  0.000  0.500
Pt  0.500  0.500  0.500
Pt  0.667  0.333  0.000

Properties
ΔH_f (0 K) = 304 meV per atom
D(E_F) = 5.46 states/eV per cell

---

4.
ZrCdCl at its PBEsol-relaxed geometry. Source: Alexandria via LeMat-Bulk, functional SCAN.

a = 7.328 Å, b = 7.328 Å, c = 7.328 Å
α = 155.49°, β = 155.49°, γ = 34.93°
Positions (direct):
Zr  0.000  0.000  0.000
Cd  0.650  0.650  0.000
Cl  0.388  0.388  0.000

Properties
D(E_F) = 1.40 states/eV per cell
formation energy without anion corrections = -0.69 eV per atom